Arrangement a

VASP calculation (SCAN) on a crystal of KFeHg2 relaxed with PBEsol.

Properties
SG: Pmmm (47)
spin magnetization: 2.97 μB/cell

Cell: 3.0686 3.6025 8.0697 Å, 90.00 90.00 90.00°
Last column: nearest neighbours and their distance in Å.
Atoms (fractional coordinates):
K 0.0000 0.0000 0.0000  2 K 3.07
Fe 0.0000 0.0000 0.5000  8 Hg 2.80, 2 Fe 3.07
Hg 0.5000 0.5000 0.3152  4 Fe 2.80, 3 Hg 2.98-3.07
Hg 0.5000 0.5000 0.6848  4 Fe 2.80, 3 Hg 2.98-3.07

=====

Arrangement b

VASP calculation (SCAN) on a crystal of KFeHg2 relaxed with PBEsol.

Properties
SG: Pmm2 (25)
spin magnetization: 2.88 μB/cell

Cell: 3.1521 4.1474 7.7609 Å, 90.00 90.00 90.00°
Last column: nearest neighbours and their distance in Å.
Atoms (fractional coordinates):
K 0.0000 0.0000 0.0000  2 K 3.15, 5 Hg 3.29-3.45
Fe 0.5000 0.5000 0.3653  5 Hg 2.64-2.67
Hg 0.0000 0.0000 0.4236  4 Fe 2.64
Hg 0.5000 0.5000 0.7090  1 Fe 2.67

=====

Most stable: arrangement a. Least stable: arrangement b.

=====

Arrangement a

VASP calculation (SCAN) on a crystal of FeHg2Os relaxed with PBEsol.

Properties
SG: R-3m (166)
spin magnetization: 2.08 μB/cell

Cell: 9.2198 9.2198 9.2198 Å, 17.95 17.95 17.95°
Last column: nearest neighbours and their distance in Å.
Atoms (fractional coordinates):
Fe 0.0000 0.0000 0.0000  6 Hg 2.75, 6 Fe 2.88
Hg 0.2527 0.2527 0.2527  3 Fe 2.75, 3 Os 2.87, 6 Hg 2.88
Hg 0.7473 0.7473 0.7473  3 Fe 2.75, 3 Os 2.87, 6 Hg 2.88
Os 0.5000 0.5000 0.5000  6 Hg 2.87, 6 Os 2.88

=====

Arrangement b

VASP calculation (SCAN) on a crystal of FeHg2Os relaxed with PBEsol.

Properties
SG: Fm-3m (225)
spin magnetization: 3.57 μB/cell

Cell: 4.5121 4.5121 4.5121 Å, 60.00 60.00 60.00°
Last column: nearest neighbours and their distance in Å.
Atoms (fractional coordinates):
Fe 0.0000 0.0000 0.0000  8 Hg 2.76
Hg 0.2500 0.2500 0.2500  4 Os 2.76, 4 Fe 2.76
Hg 0.7500 0.7500 0.7500  4 Os 2.76, 4 Fe 2.76
Os 0.5000 0.5000 0.5000  8 Hg 2.76

=====

Arrangement c

VASP calculation (SCAN) on a crystal of FeHg2Os relaxed with PBEsol.

Properties
SG: F-43m (216)
spin magnetization: 4.30 μB/cell

Cell: 4.5316 4.5316 4.5316 Å, 60.00 60.00 60.00°
Last column: nearest neighbours and their distance in Å.
Atoms (fractional coordinates):
Fe 0.0000 0.0000 0.0000  4 Hg 2.78, 4 Os 2.78
Hg 0.5000 0.5000 0.5000  4 Os 2.78, 4 Hg 2.78
Hg 0.7500 0.7500 0.7500  4 Hg 2.78, 4 Fe 2.78
Os 0.2500 0.2500 0.2500  4 Hg 2.78, 4 Fe 2.78

=====

Most stable: arrangement a. Least stable: arrangement b.

=====

Arrangement a

VASP calculation (SCAN) on a crystal of Fe2ReHg relaxed with PBEsol.

Properties
SG: I4/mmm (139)
spin magnetization: 5.10 μB/cell

Cell: 4.4867 4.4867 4.4867 Å, 128.55 128.55 75.73°
Last column: nearest neighbours and their distance in Å.
Atoms (fractional coordinates):
Fe 0.2500 0.7500 0.5000  4 Hg 2.63, 4 Re 2.63, 4 Fe 2.75
Fe 0.7500 0.2500 0.5000  4 Hg 2.63, 4 Re 2.63, 4 Fe 2.75
Re 0.0000 0.0000 0.0000  8 Fe 2.63, 4 Hg 2.75
Hg 0.5000 0.5000 0.0000  8 Fe 2.63, 4 Re 2.75

=====

Arrangement b

VASP calculation (SCAN) on a crystal of Fe2ReHg relaxed with PBEsol.

Properties
SG: P4mm (99)
spin magnetization: 4.97 μB/cell

Cell: 2.8260 2.8260 7.0618 Å, 90.00 90.00 90.00°
Last column: nearest neighbours and their distance in Å.
Atoms (fractional coordinates):
Fe 0.0000 0.0000 0.0000  4 Fe 2.44, 4 Re 2.49
Fe 0.5000 0.5000 0.1983  4 Fe 2.44
Re 0.5000 0.5000 0.7904  4 Fe 2.49
Hg 0.0000 0.0000 0.4778  4 Fe 2.81, 4 Hg 2.83, 4 Re 2.98

=====

Most stable: arrangement b. Least stable: arrangement a.

=====

Arrangement a

VASP calculation (SCAN) on a crystal of Sr2FeHg relaxed with PBEsol.

Properties
SG: R3m (160)
spin magnetization: 2.77 μB/cell

Cell: 8.1773 8.1773 8.1773 Å, 31.78 31.78 31.78°
Last column: nearest neighbours and their distance in Å.
Atoms (fractional coordinates):
Sr 0.0000 0.0000 0.0000  3 Hg 3.31, 3 Fe 3.31
Sr 0.1773 0.1773 0.1773  3 Fe 3.30, 3 Hg 3.31
Fe 0.7557 0.7557 0.7557  3 Hg 2.59
Hg 0.4218 0.4218 0.4218  3 Fe 2.59

=====

Arrangement b

VASP calculation (SCAN) on a crystal of Sr2FeHg relaxed with PBEsol.

Properties
SG: F-43m (216)
spin magnetization: 3.45 μB/cell

Cell: 5.2154 5.2154 5.2154 Å, 60.00 60.00 60.00°
Last column: nearest neighbours and their distance in Å.
Atoms (fractional coordinates):
Sr 0.0000 0.0000 0.0000  4 Fe 3.19, 4 Sr 3.19
Sr 0.2500 0.2500 0.2500  4 Hg 3.19, 4 Sr 3.19
Fe 0.7500 0.7500 0.7500  4 Hg 3.19, 4 Sr 3.19
Hg 0.5000 0.5000 0.5000  4 Fe 3.19, 4 Sr 3.19

=====

Most stable: arrangement a. Least stable: arrangement b.

=====

Arrangement a

VASP calculation (SCAN) on a crystal of TaFeHg2 relaxed with PBEsol.

Properties
SG: Cm (8)
spin magnetization: 1.45 μB/cell

Cell: 5.5265 5.5265 4.7434 Å, 114.88 114.88 32.25°
Last column: nearest neighbours and their distance in Å.
Atoms (fractional coordinates):
Ta 0.0000 0.0000 0.0000  2 Fe 2.36
Fe 0.3127 0.3127 0.8140  2 Ta 2.36
Hg 0.5684 0.5684 0.5676  2 Fe 2.79, 4 Ta 2.90, 3 Hg 3.07-3.11
Hg 0.7827 0.7827 0.2832  4 Fe 2.83-2.84, 6 Hg 3.07-3.15, 4 Ta 3.10-3.16

=====

Arrangement b

VASP calculation (SCAN) on a crystal of TaFeHg2 relaxed with PBEsol.

Properties
SG: Immm (71)
spin magnetization: 2.02 μB/cell

Cell: 5.3536 5.3536 5.3536 Å, 143.63 130.72 62.77°
Last column: nearest neighbours and their distance in Å.
Atoms (fractional coordinates):
Ta 0.0000 0.0000 0.0000  4 Fe 2.79, 8 Hg 2.99-3.06
Fe 0.5000 0.5000 0.0000  4 Hg 2.68, 4 Ta 2.79
Hg 0.2707 0.7707 0.5000  2 Fe 2.68, 4 Hg 2.81, 2 Ta 2.99
Hg 0.7293 0.2293 0.5000  2 Fe 2.68, 4 Hg 2.81, 2 Ta 2.99

=====

Arrangement c

VASP calculation (SCAN) on a crystal of TaFeHg2 relaxed with PBEsol.

Properties
SG: I-4m2 (119)
spin magnetization: 1.76 μB/cell

Cell: 4.8848 4.8848 4.8848 Å, 129.53 129.53 74.16°
Last column: nearest neighbours and their distance in Å.
Atoms (fractional coordinates):
Ta 0.0000 0.0000 0.0000  8 Hg 2.85-2.95, 4 Fe 2.85
Fe 0.7500 0.2500 0.5000  8 Hg 2.85-2.95, 4 Ta 2.85
Hg 0.2500 0.7500 0.5000  4 Hg 2.85, 4 Ta 2.85, 4 Fe 2.95
Hg 0.5000 0.5000 0.0000  4 Hg 2.85, 4 Fe 2.85, 4 Ta 2.95

=====

Most stable: arrangement a. Least stable: arrangement c.

=====

Arrangement a

VASP calculation (SCAN) on a crystal of Fe2HgTe relaxed with PBEsol.

Properties
SG: P4/mmm (123)
spin magnetization: 5.23 μB/cell

Cell: 4.4684 4.4684 3.2085 Å, 90.00 90.00 90.00°
Last column: nearest neighbours and their distance in Å.
Atoms (fractional coordinates):
Fe 0.0000 0.5000 0.0000  4 Hg 2.75, 4 Te 2.75
Fe 0.5000 0.0000 0.0000  4 Hg 2.75, 4 Te 2.75
Hg 0.0000 0.0000 0.5000  8 Fe 2.75
Te 0.5000 0.5000 0.5000  8 Fe 2.75

=====

Arrangement b

VASP calculation (SCAN) on a crystal of Fe2HgTe relaxed with PBEsol.

Properties
SG: I-4m2 (119)
spin magnetization: 5.68 μB/cell

Cell: 5.2337 5.2337 5.2337 Å, 136.59 136.59 63.08°
Last column: nearest neighbours and their distance in Å.
Atoms (fractional coordinates):
Fe 0.0000 0.0000 0.0000  4 Hg 2.74, 4 Fe 2.95, 4 Te 2.95
Fe 0.7500 0.2500 0.5000  4 Te 2.74, 4 Hg 2.95, 4 Fe 2.95
Hg 0.5000 0.5000 0.0000  8 Fe 2.74-2.95, 4 Te 2.95
Te 0.2500 0.7500 0.5000  8 Fe 2.74-2.95, 4 Hg 2.95

=====

Arrangement c

VASP calculation (SCAN) on a crystal of Fe2HgTe relaxed with PBEsol.

Properties
SG: F-43m (216)
spin magnetization: 5.82 μB/cell

Cell: 4.6308 4.6308 4.6308 Å, 60.00 60.00 60.00°
Last column: nearest neighbours and their distance in Å.
Atoms (fractional coordinates):
Fe 0.0000 0.0000 0.0000  4 Hg 2.84, 4 Fe 2.84
Fe 0.2500 0.2500 0.2500  4 Fe 2.84, 4 Te 2.84
Hg 0.7500 0.7500 0.7500  4 Te 2.84, 4 Fe 2.84
Te 0.5000 0.5000 0.5000  4 Hg 2.84, 4 Fe 2.84

=====

Most stable: arrangement b. Least stable: arrangement c.

=====

Arrangement a

VASP calculation (SCAN) on a crystal of FeHgTe relaxed with PBEsol.

Properties
SG: F-43m (216)
spin magnetization: 2.31 μB/cell

Cell: 4.4400 4.4400 4.4400 Å, 60.00 60.00 60.00°
Last column: nearest neighbours and their distance in Å.
Atoms (fractional coordinates):
Fe 0.0000 0.0000 0.0000  4 Hg 2.72, 4 Te 2.72
Hg 0.2500 0.2500 0.2500  4 Fe 2.72
Te 0.7500 0.7500 0.7500  4 Fe 2.72

=====

Arrangement b

VASP calculation (SCAN) on a crystal of FeHgTe relaxed with PBEsol.

Properties
SG: I4mm (107)
spin magnetization: 1.98 μB/cell

Cell: 6.6513 6.6513 6.6513 Å, 153.41 153.41 37.95°
Last column: nearest neighbours and their distance in Å.
Atoms (fractional coordinates):
Fe 0.0000 0.0000 0.0000  4 Te 2.56, 4 Hg 2.85
Hg 0.6475 0.6475 0.0000  4 Fe 2.85, 4 Hg 3.06
Te 0.3915 0.3915 0.0000  4 Fe 2.56

=====

Most stable: arrangement a. Least stable: arrangement b.

=====

Arrangement a

VASP calculation (SCAN) on a crystal of Tl2FeHg relaxed with PBEsol.

Properties
SG: Pmmm (47)
spin magnetization: 3.16 μB/cell

Cell: 3.1571 5.1509 5.4002 Å, 90.00 90.00 90.00°
Last column: nearest neighbours and their distance in Å.
Atoms (fractional coordinates):
Tl 0.0000 0.0000 0.0000  4 Hg 3.02, 6 Tl 3.13-3.16
Tl 0.5000 0.0000 0.5000  4 Fe 3.02, 6 Tl 3.13-3.16
Fe 0.0000 0.5000 0.5000  4 Tl 3.02, 4 Hg 3.13, 2 Fe 3.16
Hg 0.5000 0.5000 0.0000  4 Tl 3.02, 4 Fe 3.13, 2 Hg 3.16

=====

Arrangement b

VASP calculation (SCAN) on a crystal of Tl2FeHg relaxed with PBEsol.

Properties
SG: F-43m (216)
spin magnetization: 2.98 μB/cell

Cell: 5.0048 5.0048 5.0048 Å, 60.00 60.00 60.00°
Last column: nearest neighbours and their distance in Å.
Atoms (fractional coordinates):
Tl 0.0000 0.0000 0.0000  4 Hg 3.06, 4 Tl 3.06
Tl 0.2500 0.2500 0.2500  4 Tl 3.06, 4 Fe 3.06
Fe 0.5000 0.5000 0.5000  4 Hg 3.06, 4 Tl 3.06
Hg 0.7500 0.7500 0.7500  4 Tl 3.06, 4 Fe 3.06

=====

Most stable: arrangement a. Least stable: arrangement b.

=====

Arrangement a

VASP calculation (SCAN) on a crystal of Tl2FeHg relaxed with PBEsol.

Properties
SG: I-4m2 (119)
spin magnetization: 3.04 μB/cell

Cell: 5.6755 5.6755 5.6755 Å, 136.60 136.60 63.05°
Last column: nearest neighbours and their distance in Å.
Atoms (fractional coordinates):
Tl 0.0000 0.0000 0.0000  4 Fe 2.97, 4 Hg 3.20, 4 Tl 3.20
Tl 0.7500 0.2500 0.5000  4 Hg 2.97, 4 Fe 3.20, 4 Tl 3.20
Fe 0.5000 0.5000 0.0000  8 Tl 2.97-3.20, 4 Hg 3.20
Hg 0.2500 0.7500 0.5000  8 Tl 2.97-3.20, 4 Fe 3.20

=====

Arrangement b

VASP calculation (SCAN) on a crystal of Tl2FeHg relaxed with PBEsol.

Properties
SG: P4/mmm (123)
spin magnetization: 3.15 μB/cell

Cell: 5.2938 5.2938 3.1137 Å, 90.00 90.00 90.00°
Last column: nearest neighbours and their distance in Å.
Atoms (fractional coordinates):
Tl 0.0000 0.5000 0.0000  4 Hg 3.07, 4 Fe 3.07, 2 Tl 3.11
Tl 0.5000 0.0000 0.0000  4 Hg 3.07, 4 Fe 3.07, 2 Tl 3.11
Fe 0.0000 0.0000 0.5000  8 Tl 3.07, 2 Fe 3.11
Hg 0.5000 0.5000 0.5000  8 Tl 3.07, 2 Hg 3.11

=====

Most stable: arrangement b. Least stable: arrangement a.

=====

Arrangement a

VASP calculation (SCAN) on a crystal of TlFeHg2 relaxed with PBEsol.

Properties
SG: P2/m (10)
spin magnetization: 2.91 μB/cell

Cell: 3.3355 4.5027 5.6458 Å, 90.00 102.14 90.00°
Last column: nearest neighbours and their distance in Å.
Atoms (fractional coordinates):
Tl 0.0000 0.0000 0.0000  2 Fe 2.82, 4 Hg 3.13
Fe 0.0000 0.0000 0.5000  4 Hg 2.74, 2 Tl 2.82
Hg 0.3642 0.5000 0.7236  2 Fe 2.74, 2 Hg 2.86-3.06
Hg 0.6358 0.5000 0.2764  2 Fe 2.74, 2 Hg 2.86-3.06

=====

Arrangement b

VASP calculation (SCAN) on a crystal of TlFeHg2 relaxed with PBEsol.

Properties
SG: R3m (160)
spin magnetization: 2.90 μB/cell

Cell: 9.5179 9.5179 9.5179 Å, 19.15 19.15 19.15°
Last column: nearest neighbours and their distance in Å.
Atoms (fractional coordinates):
Tl 0.0000 0.0000 0.0000  3 Fe 2.82
Fe 0.7431 0.7431 0.7431  3 Hg 2.72, 3 Tl 2.82
Hg 0.2379 0.2379 0.2379  9 Hg 3.11-3.17, 3 Tl 3.24
Hg 0.4816 0.4816 0.4816  3 Fe 2.72

=====

Most stable: arrangement a. Least stable: arrangement b.

=====

Arrangement a

VASP calculation (SCAN) on a crystal of ZrFeHg2 relaxed with PBEsol.

Properties
SG: P4/mmm (123)
spin magnetization: 2.59 μB/cell

Cell: 4.1337 4.1337 4.3067 Å, 90.00 90.00 90.00°
Last column: nearest neighbours and their distance in Å.
Atoms (fractional coordinates):
Zr 0.0000 0.0000 0.0000  4 Fe 2.92, 8 Hg 2.98
Fe 0.5000 0.5000 0.0000  4 Zr 2.92, 8 Hg 2.98
Hg 0.0000 0.5000 0.5000  4 Hg 2.92, 4 Fe 2.98, 4 Zr 2.98
Hg 0.5000 0.0000 0.5000  4 Hg 2.92, 4 Fe 2.98, 4 Zr 2.98

=====

Arrangement b

VASP calculation (SCAN) on a crystal of ZrFeHg2 relaxed with PBEsol.

Properties
SG: Cmmm (65)
spin magnetization: 2.76 μB/cell

Cell: 5.1330 5.1330 2.9700 Å, 90.00 90.00 108.63°
Last column: nearest neighbours and their distance in Å.
Atoms (fractional coordinates):
Zr 0.0000 0.0000 0.0000  8 Hg 2.97, 2 Zr 2.97, 2 Fe 2.99
Fe 0.5000 0.5000 0.0000  8 Hg 2.97, 2 Fe 2.97, 2 Zr 2.99
Hg 0.0000 0.5000 0.5000  4 Fe 2.97, 4 Zr 2.97, 4 Hg 2.97-2.99
Hg 0.5000 0.0000 0.5000  4 Fe 2.97, 4 Zr 2.97, 4 Hg 2.97-2.99

=====

Arrangement c

VASP calculation (SCAN) on a crystal of ZrFeHg2 relaxed with PBEsol.

Properties
SG: Immm (71)
spin magnetization: 2.26 μB/cell

Cell: 4.9962 4.9962 4.9962 Å, 130.11 129.01 74.12°
Last column: nearest neighbours and their distance in Å.
Atoms (fractional coordinates):
Zr 0.0000 0.0000 0.0000  8 Hg 2.91-2.92, 4 Fe 3.01
Fe 0.5000 0.5000 0.0000  8 Hg 2.89-2.94, 4 Zr 3.01
Hg 0.2519 0.7519 0.5000  4 Fe 2.89-2.94, 4 Zr 2.91-2.92, 4 Hg 3.01
Hg 0.7481 0.2481 0.5000  4 Fe 2.89-2.94, 4 Zr 2.91-2.92, 4 Hg 3.01

=====

Most stable: arrangement c. Least stable: arrangement b.

=====

Arrangement a

VASP calculation (SCAN) on a crystal of FeTeI2N relaxed with PBEsol.

Properties
SG: P4/mmm (123)
spin magnetization: 3.39 μB/cell

Cell: 6.0453 6.0453 3.9362 Å, 90.00 90.00 90.00°
Last column: nearest neighbours and their distance in Å.
Atoms (fractional coordinates):
Fe 0.0000 0.0000 0.0000  8 I 3.61, 2 Fe 3.94
Te 0.5000 0.5000 0.5000  2 N 1.97
I 0.0000 0.5000 0.5000  2 Te 3.02
I 0.5000 0.0000 0.5000  2 Te 3.02
N 0.5000 0.5000 0.0000  2 Te 1.97

=====

Arrangement b

VASP calculation (SCAN) on a crystal of FeTeI2N relaxed with PBEsol.

Properties
SG: P4/mmm (123)
spin magnetization: 6.94 μB/cell

Cell: 5.3332 5.3332 5.0132 Å, 90.00 90.00 90.00°
Last column: nearest neighbours and their distance in Å.
Atoms (fractional coordinates):
Fe 0.0000 0.0000 0.0000  2 Te 2.51, 4 I 2.67
Te 0.0000 0.0000 0.5000  2 Fe 2.51
I 0.0000 0.5000 0.0000  2 Fe 2.67
I 0.5000 0.0000 0.0000  2 Fe 2.67
N 0.5000 0.5000 0.5000  8 I 3.66, 4 Te 3.77

=====

Most stable: arrangement a. Least stable: arrangement b.